Record 1
VASP calculation (PBE) on a relaxed structure of MgCuHg2.

Values from the calculation:
**Total magnetic moment**: 0.000 μB per formula unit
**Space-group type**: C2/m, No. 12
**ΔH_f (0 K)**: 0.007 eV per atom

a b c (Å): 4.475 7.394 3.828
angles (deg): 58.47 90.25 127.05
Sites, in units of the cell vectors:
Cu  0.500  0.000  0.500
Hg  0.000  0.000  0.000
Mg  0.500  0.500  0.000
Hg  0.000  0.500  0.500

Record 2
VASP calculation (PBE) on a relaxed structure of MgCuHg2.

Values from the calculation:
**Total magnetic moment**: 0.000 μB per formula unit
**Space-group type**: Cm, No. 8
**ΔH_f (0 K)**: 0.020 eV per atom

a b c (Å): 5.124 5.124 4.773
angles (deg): 76.19 76.19 39.90
Sites, in units of the cell vectors:
Hg  0.758  0.758  0.721
Hg  0.987  0.987  0.040
Mg  0.512  0.512  0.499
Cu  0.242  0.242  0.240

Record 3
VASP calculation (PBE) on a relaxed structure of MgCuHg2.

Values from the calculation:
**Total magnetic moment**: 0.000 μB per formula unit
**Space-group type**: Imm2, No. 44
**ΔH_f (0 K)**: 0.014 eV per atom

a b c (Å): 6.403 6.403 6.403
angles (deg): 151.81 138.63 50.81
Sites, in units of the cell vectors:
Hg  0.046  0.046  0.000
Hg  0.754  0.254  0.500
Mg  0.448  0.448  0.000
Cu  0.251  0.751  0.500

Record 4
VASP calculation (PBE) on a relaxed structure of Mg3Cu8Hg.

Values from the calculation:
**Total magnetic moment**: 0.000 μB per formula unit
**Space-group type**: R3m, No. 160
**ΔH_f (0 K)**: -0.098 eV per atom

a b c (Å): 5.024 5.024 8.560
angles (deg): 72.94 72.94 60.00
Sites, in units of the cell vectors:
Cu  0.938  0.434  0.691
Cu  0.687  0.687  0.938
Cu  0.938  0.938  0.691
Cu  0.187  0.187  0.438
Cu  0.438  0.438  0.184
Cu  0.434  0.938  0.691
Hg  0.875  0.875  0.376
Cu  0.940  0.438  0.184
Mg  0.998  0.998  0.005
Mg  0.375  0.375  0.874
Cu  0.438  0.940  0.184
Mg  0.502  0.502  0.494

Record 5
VASP calculation (PBE) on a relaxed structure of Mg4CuHg.

Values from the calculation:
**Total magnetic moment**: 0.000 μB per formula unit
**Space-group type**: P2_1/m, No. 11
**Energy relative to the lowest polymorph listed for this composition**: 0.0 meV per atom
**ΔH_f (0 K)**: -0.125 eV per atom

a b c (Å): 5.089 6.030 8.735
angles (deg): 90.00 116.05 90.00
Sites, in units of the cell vectors:
Mg  0.942  0.009  0.249
Mg  0.364  0.750  0.138
Hg  0.709  0.750  0.927
Cu  0.818  0.750  0.458
Mg  0.058  0.509  0.751
Mg  0.058  0.991  0.751
Mg  0.636  0.250  0.862
Mg  0.942  0.491  0.249
Mg  0.403  0.750  0.562
Mg  0.597  0.250  0.438
Cu  0.182  0.250  0.542
Hg  0.291  0.250  0.073

Record 6
VASP calculation (PBE) on a relaxed structure of MgCu2Hg.

Values from the calculation:
**Total magnetic moment**: 0.000 μB per formula unit
**Space-group type**: Pmmm, No. 47
**ΔH_f (0 K)**: -0.004 eV per atom

a b c (Å): 4.039 4.137 3.843
angles (deg): 90.00 90.00 90.00
Sites, in units of the cell vectors:
Cu  0.500  0.500  0.000
Mg  0.000  0.500  0.500
Hg  0.500  0.000  0.500
Cu  0.000  0.000  0.000

Record 7
VASP calculation (PBE) on a relaxed structure of Mg5CuHg4.

Values from the calculation:
**Total magnetic moment**: 0.000 μB per formula unit
**Space-group type**: P4/mmm, No. 123
**ΔH_f (0 K)**: -0.180 eV per atom

a b c (Å): 3.409 3.409 17.468
angles (deg): 90.00 90.00 90.00
Sites, in units of the cell vectors:
Hg  0.000  0.000  0.604
Mg  0.500  0.500  0.916
Mg  0.500  0.500  0.500
Hg  0.000  0.000  0.186
Mg  0.500  0.500  0.292
Mg  0.500  0.500  0.708
Hg  0.000  0.000  0.396
Mg  0.500  0.500  0.084
Cu  0.000  0.000  0.000
Hg  0.000  0.000  0.814

Record 8
VASP calculation (PBE) on a relaxed structure of Mg2CuHg.

Values from the calculation:
**Total magnetic moment**: 0.000 μB per formula unit
**Space-group type**: P4/mmm, No. 123
**ΔH_f (0 K)**: -0.120 eV per atom

a b c (Å): 4.605 4.605 3.476
angles (deg): 90.00 90.00 89.96
Sites, in units of the cell vectors:
Cu  0.500  0.000  0.500
Hg  0.000  0.500  0.500
Mg  0.500  0.500  0.000
Mg  0.000  0.000  0.000

Record 9
VASP calculation (PBE) on a relaxed structure of NaMgCuHg.

Values from the calculation:
**Total magnetic moment**: 0.000 μB per formula unit
**Space-group type**: F-43m, No. 216
**ΔH_f (0 K)**: 0.028 eV per atom

a b c (Å): 4.850 4.850 4.850
angles (deg): 60.00 60.00 60.00
Sites, in units of the cell vectors:
Cu  0.250  0.250  0.250
Hg  0.750  0.750  0.750
Mg  0.000  0.000  0.000
Na  0.500  0.500  0.500

Record 10
VASP calculation (PBE) on a relaxed structure of MgCuNiHg.

Values from the calculation:
**Total magnetic moment**: 0.000 μB per formula unit
**Space-group type**: F-43m, No. 216
**ΔH_f (0 K)**: 0.015 eV per atom

a b c (Å): 4.434 4.434 4.434
angles (deg): 60.00 60.00 60.00
Sites, in units of the cell vectors:
Mg  0.500  0.500  0.500
Cu  0.750  0.750  0.750
Hg  0.250  0.250  0.250
Ni  0.000  0.000  0.000

Record 11
VASP calculation (PBE) on a relaxed structure of PmMgCuHg.

Values from the calculation:
**Total magnetic moment**: 0.000 μB per formula unit
**Space-group type**: F-43m, No. 216
**ΔH_f (0 K)**: -0.306 eV per atom

a b c (Å): 4.990 4.990 4.990
angles (deg): 60.00 60.00 60.00
Sites, in units of the cell vectors:
Mg  0.500  0.500  0.500
Hg  0.750  0.750  0.750
Cu  0.250  0.250  0.250
Pm  0.000  0.000  0.000

Record 12
VASP calculation (PBE) on a relaxed structure of PrMgCuHg.

Values from the calculation:
**Total magnetic moment**: 0.000 μB per formula unit
**Space-group type**: F-43m, No. 216
**ΔH_f (0 K)**: -0.290 eV per atom

a b c (Å): 5.043 5.043 5.043
angles (deg): 60.00 60.00 60.00
Sites, in units of the cell vectors:
Cu  0.250  0.250  0.250
Hg  0.750  0.750  0.750
Pr  0.000  0.000  0.000
Mg  0.500  0.500  0.500

Record 13
VASP calculation (PBE) on a relaxed structure of PuMgCuHg.

Values from the calculation:
**Total magnetic moment**: 5.662 μB per formula unit
**Space-group type**: F-43m, No. 216
**ΔH_f (0 K)**: -0.016 eV per atom

a b c (Å): 4.980 4.980 4.980
angles (deg): 60.00 60.00 60.00
Sites, in units of the cell vectors:
Pu  0.000  0.000  0.000
Hg  0.750  0.750  0.750
Cu  0.250  0.250  0.250
Mg  0.500  0.500  0.500

Record 14
VASP calculation (PBE) on a relaxed structure of RbMgCuHg2.

Values from the calculation:
**Total magnetic moment**: 0.000 μB per formula unit
**Space-group type**: P4/mmm, No. 123
**ΔH_f (0 K)**: 0.001 eV per atom

a b c (Å): 5.286 5.286 5.121
angles (deg): 90.00 90.00 90.00
Sites, in units of the cell vectors:
Hg  0.000  0.500  0.000
Cu  0.000  0.000  0.000
Mg  0.000  0.000  0.500
Hg  0.500  0.000  0.000
Rb  0.500  0.500  0.500

Record 15
VASP calculation (PBE) on a relaxed structure of MgCuHgSb2.

Values from the calculation:
**Total magnetic moment**: 0.000 μB per formula unit
**Space-group type**: P4/mmm, No. 123
**Formation energy without anion corrections**: 0.654 eV/atom

a b c (Å): 5.577 5.577 4.828
angles (deg): 90.00 90.00 90.00
Sites, in units of the cell vectors:
Hg  0.000  0.000  0.000
Cu  0.000  0.000  0.500
Mg  0.500  0.500  0.500
Sb  0.000  0.500  0.000
Sb  0.500  0.000  0.000

Record 16
VASP calculation (PBE) on a relaxed structure of Mg2ScCuHg.

Values from the calculation:
**Total magnetic moment**: 0.000 μB per formula unit
**Space-group type**: P4/mmm, No. 123
**ΔH_f (0 K)**: 0.145 eV per atom

a b c (Å): 4.776 4.921 4.776
angles (deg): 90.00 90.00 90.00
Sites, in units of the cell vectors:
Hg  0.000  0.500  0.000
Sc  0.500  0.500  0.500
Mg  0.000  0.000  0.500
Cu  0.000  0.000  0.000
Mg  0.500  0.000  0.000

Record 17
VASP calculation (PBE) on a relaxed structure of SrMg2CuHg.

Values from the calculation:
**Total magnetic moment**: 0.000 μB per formula unit
**Space-group type**: P4/mmm, No. 123
**ΔH_f (0 K)**: -0.084 eV per atom

a b c (Å): 5.019 5.019 5.144
angles (deg): 90.00 90.00 90.00
Sites, in units of the cell vectors:
Cu  0.000  0.000  0.000
Mg  0.500  0.000  0.000
Sr  0.500  0.500  0.500
Hg  0.000  0.000  0.500
Mg  0.000  0.500  0.000

Record 18
VASP calculation (PBE) on a relaxed structure of TbMgCuHg.

Values from the calculation:
**Total magnetic moment**: 0.000 μB per formula unit
**Space-group type**: F-43m, No. 216
**ΔH_f (0 K)**: -0.318 eV per atom

a b c (Å): 4.915 4.915 4.915
angles (deg): 60.00 60.00 60.00
Sites, in units of the cell vectors:
Mg  0.500  0.500  0.500
Cu  0.250  0.250  0.250
Tb  0.000  0.000  0.000
Hg  0.750  0.750  0.750

Record 19
VASP calculation (PBE) on a relaxed structure of MgTlCuHg2.

Values from the calculation:
**Total magnetic moment**: 0.000 μB per formula unit
**Space-group type**: P4/mmm, No. 123
**ΔH_f (0 K)**: 0.095 eV per atom

a b c (Å): 5.105 5.105 5.023
angles (deg): 90.00 90.00 90.00
Sites, in units of the cell vectors:
Hg  0.500  0.000  0.000
Tl  0.500  0.500  0.500
Hg  0.000  0.500  0.000
Cu  0.000  0.000  0.000
Mg  0.000  0.000  0.500

Record 20
VASP calculation (PBE) on a relaxed structure of TmMgCuHg.

Values from the calculation:
**Total magnetic moment**: 0.000 μB per formula unit
**Space-group type**: F-43m, No. 216
**ΔH_f (0 K)**: -0.310 eV per atom

a b c (Å): 4.860 4.860 4.860
angles (deg): 60.00 60.00 60.00
Sites, in units of the cell vectors:
Cu  0.250  0.250  0.250
Hg  0.750  0.750  0.750
Mg  0.500  0.500  0.500
Tm  0.000  0.000  0.000

Record 21
VASP calculation (PBE) on a relaxed structure of MnCu2Hg.

Values from the calculation:
**Total magnetic moment**: 3.929 μB per formula unit
**Space-group type**: I-42d, No. 122
**ΔH_f (0 K)**: 0.480 eV per atom

a b c (Å): 7.064 7.064 5.661
angles (deg): 51.40 51.40 90.00
Sites, in units of the cell vectors:
Cu  0.140  0.625  0.250
Hg  0.000  0.000  0.000
Cu  0.375  0.390  0.750
Hg  0.750  0.250  0.500
Cu  0.610  0.125  0.250
Mn  0.500  0.500  0.000
Mn  0.250  0.750  0.500
Cu  0.875  0.860  0.750

Record 22
VASP calculation (PBE) on a relaxed structure of MnCuHg.

Values from the calculation:
**Total magnetic moment**: 4.099 μB per formula unit
**Space-group type**: I4mm, No. 107
**Energy relative to the lowest polymorph listed for this composition**: 0.0 meV per atom
**ΔH_f (0 K)**: 0.238 eV per atom

a b c (Å): 5.106 5.106 3.266
angles (deg): 71.34 71.35 37.31
Sites, in units of the cell vectors:
Cu  0.989  0.989  0.011
Mn  0.348  0.348  0.652
Hg  0.663  0.663  0.337

Record 23
VASP calculation (PBE) on a relaxed structure of MnCu2Hg.

Values from the calculation:
**Total magnetic moment**: 3.870 μB per formula unit
**Space-group type**: I4/mmm, No. 139
**ΔH_f (0 K)**: 0.195 eV per atom

a b c (Å): 4.581 4.581 4.581
angles (deg): 126.72 126.72 78.70
Sites, in units of the cell vectors:
Cu  0.000  0.000  0.000
Cu  0.500  0.500  0.000
Mn  0.250  0.750  0.500
Hg  0.750  0.250  0.500

Record 24
VASP calculation (PBE) on a relaxed structure of MnCuHg2.

Values from the calculation:
**Total magnetic moment**: 3.740 μB per formula unit
**Space-group type**: Cmmm, No. 65
**Energy relative to the lowest polymorph listed for this composition**: 43.3 meV per atom
**ΔH_f (0 K)**: 0.282 eV per atom

a b c (Å): 7.306 4.664 3.248
angles (deg): 90.05 63.53 128.90
Sites, in units of the cell vectors:
Hg  0.500  0.000  0.500
Cu  0.500  0.500  0.000
Hg  0.000  0.000  0.000
Mn  0.000  0.500  0.500

Record 25
VASP calculation (PBE) on a relaxed structure of MnCuHg.

Values from the calculation:
**Total magnetic moment**: 4.092 μB per formula unit
**Space-group type**: F-43m, No. 216
**Energy relative to the lowest polymorph listed for this composition**: 174.4 meV per atom
**ΔH_f (0 K)**: 0.413 eV per atom

a b c (Å): 4.298 4.298 4.298
angles (deg): 60.00 60.00 60.00
Sites, in units of the cell vectors:
Mn  0.500  0.500  0.500
Cu  0.750  0.750  0.750
Hg  0.000  0.000  0.000

Record 26
VASP calculation (PBE) on a relaxed structure of MnCu2Hg.

Values from the calculation:
**Total magnetic moment**: 3.943 μB per formula unit
**Space-group type**: I-4m2, No. 119
**ΔH_f (0 K)**: 0.208 eV per atom

a b c (Å): 4.753 4.753 4.753
angles (deg): 130.76 130.76 72.19
Sites, in units of the cell vectors:
Cu  0.250  0.750  0.500
Mn  0.750  0.250  0.500
Hg  0.500  0.500  0.000
Cu  0.000  0.000  0.000

Record 27
VASP calculation (PBE) on a relaxed structure of MnCuHg2.

Values from the calculation:
**Total magnetic moment**: 3.929 μB per formula unit
**Space-group type**: Cm, No. 8
**Energy relative to the lowest polymorph listed for this composition**: 41.9 meV per atom
**ΔH_f (0 K)**: 0.280 eV per atom

a b c (Å): 5.309 5.309 4.764
angles (deg): 71.40 71.40 34.61
Sites, in units of the cell vectors:
Hg  0.764  0.764  0.709
Hg  0.984  0.984  0.043
Cu  0.232  0.232  0.238
Mn  0.520  0.520  0.510

Record 28
VASP calculation (PBE) on a relaxed structure of MnCu2Hg.

Values from the calculation:
**Total magnetic moment**: 3.888 μB per formula unit
**Space-group type**: R-3m, No. 166
**ΔH_f (0 K)**: 0.303 eV per atom

a b c (Å): 8.751 8.751 8.751
angles (deg): 19.11 19.11 19.11
Sites, in units of the cell vectors:
Cu  0.007  0.007  0.007
Hg  0.250  0.250  0.250
Cu  0.493  0.493  0.493
Mn  0.750  0.750  0.750

Record 29
VASP calculation (PBE) on a relaxed structure of MnCu2Hg.

Values from the calculation:
**Total magnetic moment**: 3.807 μB per formula unit
**Space-group type**: C2/m, No. 12
**ΔH_f (0 K)**: 0.238 eV per atom

a b c (Å): 4.627 4.627 4.761
angles (deg): 78.67 78.67 37.83
Sites, in units of the cell vectors:
Mn  0.250  0.250  0.250
Cu  0.993  0.993  0.031
Hg  0.750  0.750  0.750
Cu  0.507  0.507  0.469